# 1
VASP calculation (PBE) on a geometry-optimized EuTlPS4 structure.

Cell: 12.5694 6.6225 8.7319 Å, 90.00 90.00 90.00°
Closest atoms and distances in Å follow each position.
Space group Pnma (No. 62)
Symmetry-distinct sites (fractional):
Eu: 0.1383 0.2500 0.1065 (multiplicity 4)  6 S 2.95-3.12
Tl: 0.1062 0.2500 0.6232 (multiplicity 4)  8 S 3.21-3.44
P: 0.1478 0.7500 0.8736 (multiplicity 4)  4 S 2.05-2.06
S: 0.0478 0.7500 0.6886 (multiplicity 4)  1 P 2.05
S: 0.0655 0.7500 0.0766 (multiplicity 4)  1 P 2.05
S: 0.2475 0.5029 0.8621 (multiplicity 8)  1 P 2.06

Output
density of states at the Fermi level: 2.9552 states/eV/atom
DFT total energy: -163.60 eV for the cell shown
raw formation energy: -0.906 eV/atom

---

# 2
VASP calculation (PBE) on a geometry-optimized ZrAu2Br structure.

Cell: 8.1893 8.1893 5.4493 Å, 90.00 90.00 90.00°
Closest atoms and distances in Å follow each position.
Space group I-42d (No. 122)
Symmetry-distinct sites (fractional):
Zr: 0.0000 0.0000 0.0000 (multiplicity 4)  2 Br 2.72, 4 Au 2.83
Au: 0.2240 0.2500 0.1250 (multiplicity 8)  2 Au 2.76, 2 Zr 2.83
Br: 0.0000 0.0000 0.5000 (multiplicity 4)  2 Zr 2.72

Output
density of states at the Fermi level: 1.1044 states/eV/atom
DFT total energy: -70.12 eV for the cell shown
raw formation energy: -0.188 eV/atom

---

# 3
VASP calculation (PBE) on a geometry-optimized AcPm2Au6 structure.

Cell: 3.9277 7.7718 14.7735 Å, 90.00 90.00 90.00°
Closest atoms and distances in Å follow each position.
Space group Immm (No. 71)
Symmetry-distinct sites (fractional):
Ac: 0.0000 0.0000 0.0000 (multiplicity 2)  4 Au 3.17
Pm: 0.0000 0.5000 0.1412 (multiplicity 4)  10 Au 3.05-3.19
Au: 0.0000 0.1800 0.5000 (multiplicity 4)  3 Au 2.80-2.82
Au: 0.0000 0.3088 0.3217 (multiplicity 8)  4 Au 2.82-3.03, 3 Pm 3.05-3.15

Output
density of states at the Fermi level: 0.6864 states/eV/atom
ΔE_f: -0.7413 eV per atom
DFT total energy: -79.89 eV for the cell shown